RbBa2Zn | PBE | optimized geometry

energy of formation: -0.22 eV/f.u.
spin magnetization: 0.000 μB/f.u.

Geometry as POSCAR:
```
RbBa2Zn
1.0
4.2304 0.0000 0.0000
0.0000 4.2304 0.0000
0.0000 0.0000 11.6945
Rb Ba Zn
1 2 1
direct
0.0000 0.0000 0.0000
0.5000 0.5000 0.3362
0.5000 0.5000 0.6638
0.0000 0.0000 0.5000
```